An optimized crystal structure of CeZn4Cu. Source: Alexandria, functional GGA-PBE.

Cell and atoms, written as POSCAR:
```
CeZn4Cu
1.0
7.297 0.000 0.000
0.000 4.115 0.000
0.000 0.000 7.047
Ce Zn Cu
2 8 2
Direct
0.250 0.000 0.120
0.750 0.000 0.880
0.000 0.000 0.500
0.060 0.500 0.803
0.250 0.500 0.446
0.440 0.500 0.803
0.500 0.000 0.500
0.560 0.500 0.197
0.750 0.500 0.554
0.940 0.500 0.197
0.250 0.000 0.717
0.750 0.000 0.283
```

Values from the calculation:
formation energy: -0.188 eV/atom



An optimized crystal structure of Ag2PCl. Source: Alexandria, functional GGA-PBE.

Cell and atoms, written as POSCAR:
```
Ag2PCl
1.0
0.000 3.374 3.374
3.374 0.000 3.374
3.374 3.374 0.000
Ag P Cl
2 1 1
Direct
0.250 0.250 0.250
0.750 0.750 0.750
0.000 0.000 0.000
0.500 0.500 0.500
```

Values from the calculation:
energy relative to the lowest polymorph listed for this composition: 0.433 eV/atom



An optimized crystal structure of Rb3U4S8. Source: Alexandria, functional GGA-PBE.

Cell and atoms, written as POSCAR:
```
Rb3U4S8
1.0
5.955 -5.958 0.000
5.955 5.958 0.000
-5.550 0.000 6.029
Rb U S
3 4 8
Direct
0.000 0.000 0.000
0.000 0.500 0.000
0.500 0.000 0.000
0.000 0.500 0.500
0.500 0.000 0.500
0.500 0.500 0.000
0.500 0.500 0.500
0.272 0.728 0.000
0.272 0.728 0.500
0.281 0.281 0.535
0.309 0.309 0.063
0.691 0.691 0.937
0.719 0.719 0.465
0.728 0.272 0.000
0.728 0.272 0.500
```



An optimized crystal structure of Sr2In2Au. Source: Alexandria, functional GGA-PBE.

Cell and atoms, written as POSCAR:
```
Sr2In2Au
1.0
-3.269 3.269 4.117
3.269 -3.269 4.117
3.269 3.269 -4.117
Sr In Au
2 2 1
Direct
0.250 0.750 0.500
0.750 0.250 0.500
0.165 0.165 0.000
0.835 0.835 0.000
0.500 0.500 0.000
```

Values from the calculation:
energy relative to the lowest polymorph listed for this composition: 0.344 eV/atom
formation energy: -0.188 eV/atom



An optimized crystal structure of La2CoHg. Source: Alexandria, functional GGA-PBE.

Cell and atoms, written as POSCAR:
```
La2CoHg
1.0
-1.766 2.320 6.278
1.766 -2.320 6.278
1.766 2.320 -6.278
La Co Hg
2 1 1
Direct
0.000 0.000 0.000
0.693 0.193 0.500
0.505 0.505 0.000
0.317 0.817 0.500
```

Values from the calculation:
formation energy: -0.131 eV/atom



An optimized crystal structure of LiCeDyRh. Source: Alexandria, functional GGA-PBE.

Cell and atoms, written as POSCAR:
```
LiCeDyRh
1.0
0.000 3.521 3.521
3.521 0.000 3.521
3.521 3.521 0.000
Li Ce Dy Rh
1 1 1 1
Direct
0.000 0.000 0.000
0.750 0.750 0.750
0.250 0.250 0.250
0.500 0.500 0.500
```

Values from the calculation:
formation energy: -0.341 eV/atom



no.,total energy (eV/cell)
1,-32.505
2,-11.134
3,-98.176
4,-13.060
5,-17.788
6,-21.165